No. 1
The following is a DFT calculation (PBE) of crystalline Li4Al3Ge3IO12 at its relaxed geometry.

Output
- Calculated total energy: -6.31 eV per atom
- Total moment: 0.193 μB per formula unit

Cell: 8.8370 8.8370 8.8370 Å, 90.00 90.00 90.00°
Closest atoms and distances in Å follow each position.
Fractional coordinates of all 46 atoms:
Li: 0.6892 0.6892 0.6892  3 O 2.03
O: 0.4085 0.8593 0.8596  1 Ge 1.77, 1 Al 1.77
I: 0.5000 0.5000 0.5000  4 Li 2.90
Al: 0.7500 0.5000 0.0000  4 O 1.77
Ge: 0.7500 0.0000 0.5000  4 O 1.77
Ge: 0.0000 0.5000 0.7500  4 O 1.77
O: 0.8596 0.4085 0.8593  1 Ge 1.77, 1 Al 1.77
O: 0.1404 0.5915 0.8593  1 Ge 1.77, 1 Al 1.77
O: 0.3593 0.9085 0.3596  1 Ge 1.77, 1 Al 1.77
O: 0.0915 0.6404 0.3593  1 Ge 1.77, 1 Al 1.77
Al: 0.5000 0.0000 0.7500  4 O 1.77
O: 0.6404 0.6407 0.9085  1 Ge 1.77, 1 Al 1.77
O: 0.6407 0.9085 0.6404  1 Ge 1.77, 1 Al 1.77
O: 0.8593 0.8596 0.4085  1 Ge 1.77, 1 Al 1.77
O: 0.5915 0.8593 0.1404  1 Ge 1.77, 1 Al 1.77
Li: 0.8108 0.1892 0.8108  3 O 2.03
Li: 0.1892 0.1892 0.1892  3 O 2.03
O: 0.3596 0.3593 0.9085  1 Ge 1.77, 1 Al 1.77
O: 0.8593 0.1404 0.5915  1 Ge 1.77, 1 Al 1.77
O: 0.6407 0.0915 0.3596  1 Ge 1.77, 1 Al 1.77
O: 0.3596 0.6407 0.0915  1 Ge 1.77, 1 Al 1.77
O: 0.1404 0.4085 0.1407  1 Ge 1.77, 1 Al 1.77
O: 0.1407 0.1404 0.4085  1 Ge 1.77, 1 Al 1.77
Li: 0.3108 0.3108 0.6892  3 O 2.03
Li: 0.6892 0.3108 0.3108  3 O 2.03
O: 0.9085 0.3596 0.3593  1 Ge 1.77, 1 Al 1.77
Al: 0.0000 0.2500 0.5000  4 O 1.77
I: 0.0000 0.0000 0.0000  4 Li 2.90
O: 0.9085 0.6404 0.6407  1 Ge 1.77, 1 Al 1.77
Ge: 0.2500 0.0000 0.5000  4 O 1.77
O: 0.0915 0.3596 0.6407  1 Ge 1.77, 1 Al 1.77
O: 0.4085 0.1407 0.1404  1 Ge 1.77, 1 Al 1.77
Ge: 0.0000 0.5000 0.2500  4 O 1.77
Al: 0.5000 0.0000 0.2500  4 O 1.77
O: 0.1407 0.8596 0.5915  1 Ge 1.77, 1 Al 1.77
O: 0.3593 0.0915 0.6404  1 Ge 1.77, 1 Al 1.77
Al: 0.0000 0.7500 0.5000  4 O 1.77
O: 0.5915 0.1407 0.8596  1 Ge 1.77, 1 Al 1.77
O: 0.6404 0.3593 0.0915  1 Ge 1.77, 1 Al 1.77
Al: 0.2500 0.5000 0.0000  4 O 1.77
Ge: 0.5000 0.2500 0.0000  4 O 1.77
Ge: 0.5000 0.7500 0.0000  4 O 1.77
O: 0.8596 0.5915 0.1407  1 Ge 1.77, 1 Al 1.77
Li: 0.1892 0.8108 0.8108  3 O 2.03
Li: 0.8108 0.8108 0.1892  3 O 2.03
Li: 0.3108 0.6892 0.3108  3 O 2.03

No. 2
The following is a DFT calculation (PBE) of crystalline DyTh2Ru at its relaxed geometry.

Output
- Calculated total energy: -7.48 eV per atom
- Total moment: 0.000 μB per formula unit
- Energy above the lowest structure with this stoichiometry: 0.000 eV per atom

Cell: 6.2793 7.2150 9.8652 Å, 90.00 90.00 90.00°
Closest atoms and distances in Å follow each position.
Fractional coordinates of all 16 atoms:
Th: 0.8369 0.3283 0.5623  2 Ru 2.79
Ru: 0.1135 0.3855 0.2500  4 Th 2.79, 1 Dy 2.98
Th: 0.1631 0.6717 0.0623  2 Ru 2.79
Th: 0.8369 0.3283 0.9377  2 Ru 2.79
Ru: 0.8865 0.6145 0.7500  4 Th 2.79, 1 Dy 2.98
Th: 0.3369 0.1717 0.4377  2 Ru 2.79
Ru: 0.6135 0.1145 0.7500  4 Th 2.79, 1 Dy 2.98
Th: 0.6631 0.8283 0.9377  2 Ru 2.79
Ru: 0.3865 0.8855 0.2500  4 Th 2.79, 1 Dy 2.98
Th: 0.6631 0.8283 0.5623  2 Ru 2.79
Dy: 0.6478 0.5402 0.2500  2 Ru 2.98-3.13
Dy: 0.8522 0.0402 0.2500  2 Ru 2.98-3.13
Th: 0.3369 0.1717 0.0623  2 Ru 2.79
Th: 0.1631 0.6717 0.4377  2 Ru 2.79
Dy: 0.3522 0.4598 0.7500  2 Ru 2.98-3.13
Dy: 0.1478 0.9598 0.7500  2 Ru 2.98-3.13

No. 3
The following is a DFT calculation (PBE) of crystalline Be8Nb3Ru at its relaxed geometry.

Output
- Calculated total energy: -6.10 eV per atom
- Total moment: 0.000 μB per formula unit

Cell: 4.5361 4.5361 7.4336 Å, 90.00 90.00 120.00°
Closest atoms and distances in Å follow each position.
Fractional coordinates of all 12 atoms:
Be: 0.1639 0.8361 0.2531  6 Be 2.23-2.32
Be: 0.9958 0.4979 0.7469  6 Be 2.24-2.30
Be: 0.1639 0.3277 0.2531  6 Be 2.23-2.32
Nb: 0.0000 0.0000 0.9278  12 Be 2.64-2.74, 1 Ru 2.70, 3 Nb 2.82
Nb: 0.6667 0.3333 0.0678  12 Be 2.65-2.71, 4 Nb 2.79-2.82
Be: 0.5021 0.4979 0.7469  6 Be 2.24-2.30
Be: 0.5021 0.0042 0.7469  6 Be 2.24-2.30
Be: 0.3333 0.6667 0.4992  6 Be 2.26-2.27
Be: 0.6723 0.8361 0.2531  6 Be 2.23-2.32
Be: 0.3333 0.6667 0.9975  6 Be 2.29-2.32
Nb: 0.6667 0.3333 0.4426  12 Be 2.61-2.67, 3 Ru 2.77, 1 Nb 2.79
Ru: 0.0000 0.0000 0.5650  12 Be 2.64-2.66, 4 Nb 2.70-2.77

No. 4
The following is a DFT calculation (PBE) of crystalline AcZnGe2Pd at its relaxed geometry.

Output
- Calculated total energy: -4.64 eV per atom
- Total moment: 0.000 μB per formula unit

Cell: 4.4089 4.4089 6.1850 Å, 110.88 110.88 90.00°
Closest atoms and distances in Å follow each position.
Fractional coordinates of all 5 atoms:
Ac: 0.0000 0.0000 0.0000  8 Ge 3.38, 4 Pd 3.46, 4 Zn 3.46
Pd: 0.7500 0.2500 0.5000  4 Ge 2.59
Ge: 0.6223 0.6223 0.2445  2 Pd 2.59, 2 Zn 2.59, 1 Ge 2.61
Ge: 0.3777 0.3777 0.7555  2 Zn 2.59, 2 Pd 2.59, 1 Ge 2.61
Zn: 0.2500 0.7500 0.5000  4 Ge 2.59

No. 5
The following is a DFT calculation (PBE) of crystalline Tb7PrSm4 at its relaxed geometry.

Output
- Calculated total energy: -4.42 eV per atom
- Total moment: 0.000 μB per formula unit
- Energy above the lowest structure with this stoichiometry: 0.170 eV per atom

Cell: 5.9602 11.6617 6.7680 Å, 83.21 63.88 75.19°
Closest atoms and distances in Å follow each position.
Fractional coordinates of all 12 atoms:
Pr: 0.0000 0.0000 0.0000  4 Tb 2.98-3.15
Tb: 0.0631 0.6747 0.1992  4 Tb 3.31-3.58, 3 Sm 3.66-3.67
Sm: 0.3655 0.7762 0.4929  7 Tb 3.40-3.66, 2 Sm 3.69
Tb: 0.7894 0.9222 0.4991  1 Pr 3.15, 4 Tb 3.17-3.46, 4 Sm 3.31-3.40
Tb: 0.5000 0.0000 0.0000  2 Pr 2.98, 2 Tb 3.17
Tb: 0.2106 0.0778 0.5009  1 Pr 3.15, 4 Tb 3.17-3.46, 4 Sm 3.31-3.40
Sm: 0.7602 0.6770 0.8026  5 Tb 3.29-3.67
Tb: 0.3681 0.5000 0.7639  4 Tb 3.21-3.58, 3 Sm 3.29-3.51
Tb: 0.6319 0.5000 0.2361  4 Tb 3.21-3.58, 3 Sm 3.29-3.51
Sm: 0.6345 0.2238 0.5071  7 Tb 3.40-3.66, 2 Sm 3.69
Tb: 0.9369 0.3253 0.8008  4 Tb 3.31-3.58, 3 Sm 3.66-3.67
Sm: 0.2398 0.3230 0.1974  5 Tb 3.29-3.67

No. 6
The following is a DFT calculation (PBE) of crystalline LiLaCoIr2 at its relaxed geometry.

Output
- Calculated total energy: -4.84 eV per atom
- Total moment: 1.008 μB per formula unit

Cell: 5.0046 4.6944 5.0046 Å, 90.00 90.00 90.00°
Closest atoms and distances in Å follow each position.
Fractional coordinates of all 5 atoms:
Li: 0.5000 0.5000 0.5000  8 Ir 3.43, 4 Co 3.54
Ir: 0.0000 0.0000 0.5000  2 La 2.50
La: 0.0000 0.0000 0.0000  2 Co 2.35, 4 Ir 2.50
Ir: 0.5000 0.0000 0.0000  2 La 2.50
Co: 0.0000 0.5000 0.0000  2 La 2.35

No. 7
The following is a DFT calculation (PBE) of crystalline Pr4GaPt at its relaxed geometry.

Output
- Calculated total energy: -5.25 eV per atom
- Total moment: 0.000 μB per formula unit
- Energy above the lowest structure with this stoichiometry: 0.000 eV per atom

Cell: 9.9653 9.9653 9.9653 Å, 60.00 60.00 60.00°
Closest atoms and distances in Å follow each position.
Fractional coordinates of all 24 atoms:
Ga: 0.4810 0.1730 0.1730  3 Ga 3.07, 3 Pr 3.43
Ga: 0.1730 0.1730 0.4810  3 Ga 3.07, 3 Pr 3.43
Pr: 0.1856 0.8144 0.1855  2 Ga 3.45, 10 Pr 3.62-3.71, 2 Pt 3.62
Ga: 0.1730 0.4810 0.1730  3 Ga 3.07, 3 Pr 3.43
Pr: 0.1856 0.1855 0.8144  2 Ga 3.45, 10 Pr 3.62-3.71, 2 Pt 3.62
Pr: 0.5501 0.9499 0.5501  2 Pt 2.96
Pr: 0.8114 0.3962 0.3962  3 Pt 2.97
Pt: 0.6070 0.6070 0.1791  6 Pr 2.96-2.97
Ga: 0.1730 0.1730 0.1730  3 Ga 3.07, 3 Pr 3.43
Pt: 0.6070 0.6070 0.6070  6 Pr 2.96-2.97
Pr: 0.3962 0.8114 0.3962  3 Pt 2.97
Pr: 0.9499 0.5501 0.9499  2 Pt 2.96
Pr: 0.1856 0.8144 0.8144  2 Ga 3.45, 10 Pr 3.62-3.71, 2 Pt 3.62
Pr: 0.9499 0.9499 0.5501  2 Pt 2.96
Pt: 0.6070 0.1791 0.6070  6 Pr 2.96-2.97
Pr: 0.9499 0.5501 0.5501  2 Pt 2.96
Pr: 0.3962 0.3962 0.3962  3 Pt 2.97
Pr: 0.8145 0.1855 0.1855  2 Ga 3.45, 10 Pr 3.62-3.71, 2 Pt 3.62
Pr: 0.3962 0.3962 0.8114  3 Pt 2.97
Pt: 0.1791 0.6070 0.6070  6 Pr 2.96-2.97
Pr: 0.8145 0.1855 0.8144  2 Ga 3.45, 10 Pr 3.62-3.71, 2 Pt 3.62
Pr: 0.5501 0.9499 0.9499  2 Pt 2.96
Pr: 0.8145 0.8144 0.1855  2 Ga 3.45, 10 Pr 3.62-3.71, 2 Pt 3.62
Pr: 0.5501 0.5501 0.9499  2 Pt 2.96

No. 8
The following is a DFT calculation (PBE) of crystalline ScMoOs3 at its relaxed geometry.

Output
- Calculated total energy: -8.71 eV per atom
- Total moment: 0.000 μB per formula unit
- Energy above the lowest structure with this stoichiometry: 0.000 eV per atom

Cell: 4.6803 4.6803 4.6803 Å, 90.00 90.00 90.00°
Closest atoms and distances in Å follow each position.
Fractional coordinates of all 5 atoms:
Mo: 0.0000 0.0000 0.0000  6 Os 2.34
Os: 0.0000 0.0000 0.5000  2 Mo 2.34
Os: 0.5000 0.0000 0.0000  2 Mo 2.34
Sc: 0.5000 0.5000 0.5000  12 Os 3.31
Os: 0.0000 0.5000 0.0000  2 Mo 2.34